No. 1
A relaxed structure of BaTlB, computed with PBE-GGA.

calculated total energy	-3.607	eV per atom
calculated volume	28.688	Å³/atom

Lattice parameters (Å, degrees): 9.439 5.235 5.239 60.00 56.32 56.26
Atoms (fractional coordinates):
Ba1 0.689 0.333 0.577
Ba2 0.072 0.745 0.988
Tl1 0.329 0.241 0.484
Tl2 0.432 0.838 0.082
B1 0.986 0.470 0.712
B2 0.775 0.609 0.853

***

No. 2
A relaxed structure of BaTlB, computed with PBE-GGA.

calculated total energy	-3.569	eV per atom
calculated volume	31.394	Å³/atom

Lattice parameters (Å, degrees): 8.220 4.471 5.947 90.00 64.66 105.78
Atoms (fractional coordinates):
Ba1 0.098 0.909 0.001
Ba2 0.663 0.691 0.804
B1 0.962 0.341 0.771
B2 0.799 0.259 0.034
Tl1 0.239 0.479 0.399
Tl2 0.522 0.121 0.406

***

No. 3
A relaxed structure of BaTlB, computed with PBE-GGA.

calculated total energy	-3.189	eV per atom
calculated volume	27.681	Å³/atom

Lattice parameters (Å, degrees): 4.687 4.687 7.559 90.00 90.00 90.00
Atoms (fractional coordinates):
Tl1 0.500 0.000 0.673
Tl2 0.000 0.500 0.327
B1 0.500 0.500 0.500
B2 0.000 0.000 0.500
Ba1 0.000 0.500 0.786
Ba2 0.500 0.000 0.214

***

No. 4
A relaxed structure of BaTl2B, computed with PBE-GGA.

energy above the lowest structure with this stoichiometry	218.8	meV per atom
calculated volume	28.507	Å³/atom

Lattice parameters (Å, degrees): 5.443 5.443 5.443 60.00 60.00 60.00
Atoms (fractional coordinates):
B1 0.000 0.000 0.000
Tl1 0.750 0.750 0.750
Tl2 0.250 0.250 0.250
Ba1 0.500 0.500 0.500

***

No. 5
A relaxed structure of BaYTlB2, computed with PBE-GGA.

calculated total energy	-3.816	eV per atom
calculated volume	28.776	Å³/atom

Lattice parameters (Å, degrees): 4.985 5.789 4.985 90.00 90.00 90.00
Atoms (fractional coordinates):
Ba1 0.500 0.500 0.500
Y1 0.000 0.000 0.000
Tl1 0.000 0.500 0.000
B1 0.500 0.000 0.000
B2 0.000 0.000 0.500

***

No. 6
A relaxed structure of BaTmB12, computed with PBE-GGA.

calculated total energy	-6.567	eV per atom
calculated volume	10.398	Å³/atom

Lattice parameters (Å, degrees): 4.175 4.175 8.351 90.00 90.00 90.00
Atoms (fractional coordinates):
B1 0.500 0.201 0.757
B2 0.500 0.500 0.903
B3 0.500 0.201 0.243
B4 0.500 0.500 0.605
B5 0.500 0.500 0.395
B6 0.500 0.799 0.757
B7 0.500 0.500 0.097
B8 0.201 0.500 0.757
B9 0.201 0.500 0.243
B10 0.500 0.799 0.243
B11 0.799 0.500 0.757
B12 0.799 0.500 0.243
Ba1 0.000 0.000 0.500
Tm1 0.000 0.000 0.000

***

no.,magnetization (μB/f.u.)
1,0.00
2,0.00
3,0.00
4,0.00
5,0.00
6,0.00